1.
Compound: YMgAl
Source: the Alexandria database
Functional: PBE
Structure: relaxed

Summary:
Uncorrected energy: -10.58 eV per cell
Energy above the lowest structure with this stoichiometry: 0.7437 eV/atom
Spin magnetization: 0.000 μB/atom

abc: 4.970 4.970 4.970
angles: 60.00 60.00 60.00
Positions (direct):
Y1 0.500 0.500 0.500
Al1 0.250 0.250 0.250
Mg1 0.750 0.750 0.750

2.
Compound: Y2Mg2Al
Source: the Alexandria database
Functional: PBE
Structure: relaxed

Summary:
Uncorrected energy: -40.46 eV per cell
Energy above the lowest structure with this stoichiometry: 0.0546 eV/atom
Spin magnetization: 0.168 μB/atom

abc: 7.254 7.254 4.908
angles: 90.00 90.00 90.00
Positions (direct):
Mg1 0.136 0.364 0.000
Mg2 0.864 0.636 0.000
Mg3 0.364 0.864 0.000
Mg4 0.636 0.136 0.000
Y1 0.672 0.828 0.500
Y2 0.328 0.172 0.500
Y3 0.172 0.672 0.500
Y4 0.828 0.328 0.500
Al1 0.000 0.000 0.000
Al2 0.500 0.500 0.000

3.
Compound: YMgAl2
Source: the Alexandria database
Functional: PBE
Structure: relaxed

Summary:
Uncorrected energy: -16.09 eV per cell
Spin magnetization: 0.000 μB/atom

abc: 3.393 3.385 7.589
angles: 90.00 90.00 90.00
Positions (direct):
Y1 0.500 0.500 0.776
Mg1 0.000 0.000 0.456
Al1 0.500 0.500 0.227
Al2 0.000 0.000 0.041

4.
Compound: YMgAl
Source: the Alexandria database
Functional: PBE
Structure: relaxed

Summary:
Uncorrected energy: -25.40 eV per cell
Energy above the lowest structure with this stoichiometry: 0.0369 eV/atom
Spin magnetization: 0.000 μB/atom

abc: 5.081 5.081 6.184
angles: 90.00 90.00 120.00
Positions (direct):
Y1 0.667 0.333 0.250
Y2 0.333 0.667 0.750
Mg1 0.000 0.000 0.000
Mg2 0.000 0.000 0.500
Al1 0.667 0.333 0.750
Al2 0.333 0.667 0.250

5.
Compound: Y4Mg2Al
Source: the Alexandria database
Functional: PBE
Structure: relaxed

Summary:
Uncorrected energy: -32.81 eV per cell
Spin magnetization: 0.000 μB/atom

abc: 5.211 5.211 9.007
angles: 73.19 73.19 60.00
Positions (direct):
Mg1 0.746 0.746 0.761
Mg2 0.254 0.254 0.239
Al1 0.000 0.000 0.000
Y1 0.874 0.874 0.378
Y2 0.378 0.378 0.866
Y3 0.622 0.622 0.134
Y4 0.126 0.126 0.622

6.
Compound: Y5MgAl4
Source: the Alexandria database
Functional: PBE
Structure: relaxed

Summary:
Uncorrected energy: -52.51 eV per cell
Spin magnetization: 0.000 μB/atom

abc: 3.636 3.636 18.298
angles: 90.00 90.00 90.00
Positions (direct):
Mg1 0.000 0.000 0.000
Al1 0.000 0.000 0.795
Al2 0.000 0.000 0.597
Al3 0.000 0.000 0.403
Al4 0.000 0.000 0.205
Y1 0.500 0.500 0.500
Y2 0.500 0.500 0.891
Y3 0.500 0.500 0.305
Y4 0.500 0.500 0.695
Y5 0.500 0.500 0.109

7.
Compound: YMg4Al
Source: the Alexandria database
Functional: PBE
Structure: relaxed

Summary:
Uncorrected energy: -16.12 eV per cell
Spin magnetization: 0.000 μB/atom

abc: 5.872 5.872 5.872
angles: 60.00 60.00 60.00
Positions (direct):
Mg1 0.375 0.875 0.375
Mg2 0.875 0.375 0.375
Mg3 0.375 0.375 0.875
Mg4 0.375 0.375 0.375
Y1 0.750 0.750 0.750
Al1 0.000 0.000 0.000

8.
Compound: YMgAl
Source: the Alexandria database
Functional: PBE
Structure: relaxed

Summary:
Uncorrected energy: -12.05 eV per cell
Energy above the lowest structure with this stoichiometry: 0.2528 eV/atom
Spin magnetization: 0.000 μB/atom

abc: 4.853 4.853 4.853
angles: 60.00 60.00 60.00
Positions (direct):
Mg1 0.750 0.750 0.750
Y1 0.250 0.250 0.250
Al1 0.000 0.000 0.000

Q: Among the records above, which one has the lowest uncorrected energy?
A: Y5MgAl4

Repeat the third record exactly.
Compound: YMgAl2
Source: the Alexandria database
Functional: PBE
Structure: relaxed

Summary:
Uncorrected energy: -16.09 eV per cell
Spin magnetization: 0.000 μB/atom

abc: 3.393 3.385 7.589
angles: 90.00 90.00 90.00
Positions (direct):
Y1 0.500 0.500 0.776
Mg1 0.000 0.000 0.456
Al1 0.500 0.500 0.227
Al2 0.000 0.000 0.041

Q: What is the spin magnetization in the third record?
A: 0.000 μB/atom